No. 1
Material: BeZn2Se
Method: DFT, PBE
State: relaxed

Computed properties:
As for the energy relative to the lowest polymorph listed for this composition: 0.2766 eV per atom. As for the uncorrected energy: -2.175 eV/atom. The formation energy from raw total energies is 0.265 eV per atom. The calculated volume is 160 Å³ per cell. As for the space group: I-42d.

a = 6.1546 Å, b = 6.1546 Å, c = 6.0688 Å
α = 59.53°, β = 59.53°, γ = 90.00°
Atoms (fractional coordinates):
Be1 0.5000 0.5000 0.0000
Be2 0.2500 0.7500 0.5000
Zn1 0.6081 0.1250 0.2500
Zn2 0.1419 0.6250 0.2500
Zn3 0.3750 0.3919 0.7500
Zn4 0.8750 0.8581 0.7500
Se1 0.0000 0.0000 0.0000
Se2 0.7500 0.2500 0.5000



No. 2
Material: BeZnSe
Method: DFT, PBE
State: relaxed

Computed properties:
As for the energy relative to the lowest polymorph listed for this composition: 0.0000 eV per atom. As for the uncorrected energy: -2.913 eV/atom. The formation energy from raw total energies is -0.085 eV per atom. The calculated volume is 53 Å³ per cell. As for the space group: P3m1.

a = 3.4993 Å, b = 3.4993 Å, c = 5.0173 Å
α = 90.00°, β = 90.00°, γ = 120.00°
Atoms (fractional coordinates):
Be1 0.0000 0.0000 0.2725
Zn1 0.6667 0.3333 0.6319
Se1 0.3333 0.6667 0.0956



No. 3
Material: BeZn2Se
Method: DFT, PBE
State: relaxed

Computed properties:
As for the energy relative to the lowest polymorph listed for this composition: 0.2361 eV per atom. As for the uncorrected energy: -2.216 eV/atom. The formation energy from raw total energies is 0.224 eV per atom. The calculated volume is 78 Å³ per cell. As for the space group: Imm2.

a = 5.1706 Å, b = 5.1706 Å, c = 5.1706 Å
α = 142.54°, β = 107.01°, γ = 85.05°
Atoms (fractional coordinates):
Be1 0.4804 0.4804 0.0000
Zn1 0.9895 0.9895 0.0000
Zn2 0.7254 0.2254 0.5000
Se1 0.3047 0.8047 0.5000



No. 4
Material: BeZnSe
Method: DFT, PBE
State: relaxed

Computed properties:
As for the energy relative to the lowest polymorph listed for this composition: 0.2738 eV per atom. As for the uncorrected energy: -2.639 eV/atom. The formation energy from raw total energies is 0.189 eV per atom. The calculated volume is 51 Å³ per cell. As for the space group: F-43m.

a = 4.1685 Å, b = 4.1685 Å, c = 4.1685 Å
α = 60.00°, β = 60.00°, γ = 60.00°
Atoms (fractional coordinates):
Be1 0.7500 0.7500 0.7500
Zn1 0.5000 0.5000 0.5000
Se1 0.0000 0.0000 0.0000



Question: The highest calculated volume belongs to which entry?
Answer: number 1



What did the third record say?
Material: BeZn2Se
Method: DFT, PBE
State: relaxed

Computed properties:
As for the energy relative to the lowest polymorph listed for this composition: 0.2361 eV per atom. As for the uncorrected energy: -2.216 eV/atom. The formation energy from raw total energies is 0.224 eV per atom. The calculated volume is 78 Å³ per cell. As for the space group: Imm2.

a = 5.1706 Å, b = 5.1706 Å, c = 5.1706 Å
α = 142.54°, β = 107.01°, γ = 85.05°
Atoms (fractional coordinates):
Be1 0.4804 0.4804 0.0000
Zn1 0.9895 0.9895 0.0000
Zn2 0.7254 0.2254 0.5000
Se1 0.3047 0.8047 0.5000